A plane-wave DFT calculation with PBE-GGA was carried out for a relaxed Tm3AlRh2 crystal.

E_form	-0.781	eV per atom
ρ	10.00	g cm⁻³
VASP energy	-6.091	eV per atom

Unit cell a=3.4361 b=3.4361 c=10.3976 alpha=90.00 beta=90.00 gamma=90.00
Atoms (fractional coordinates):
Tm: 0.0000 0.0000 0.0000
Tm: 0.0000 0.0000 0.3159
Tm: 0.0000 0.0000 0.6841
Al: 0.5000 0.5000 0.5000
Rh: 0.5000 0.5000 0.1636
Rh: 0.5000 0.5000 0.8364